Pa2PSe | the Alexandria database | PBE | relaxed; DOS at the Fermi energy = 7.7 states/eV/f.u.
1.0
0.000 3.465 3.465
3.465 0.000 3.465
3.465 3.465 0.000
Pa P Se
2 1 1
Cartesian
1.733 1.733 1.733
5.198 5.198 5.198
0.000 0.000 0.000
3.465 3.465 3.465

Pa6SiP2Se3 | the Alexandria database | PBE | relaxed; DOS at the Fermi energy = 17.6 states/eV/f.u.
1.0
8.871 -2.012 0.000
8.871 2.012 0.000
-2.114 0.000 7.836
Pa Si P Se
6 1 2 3
Cartesian
-0.421 0.000 1.930
4.945 0.000 3.349
4.033 0.000 7.082
11.595 0.000 0.754
10.683 0.000 4.487
16.049 0.000 5.906
8.871 0.000 0.000
2.269 0.000 2.622
13.360 0.000 5.214
1.164 0.000 6.528
7.814 0.000 3.918
14.464 0.000 1.308

SmPaPSe | the Alexandria database | PBE | relaxed; DOS at the Fermi energy = 4.4 states/eV/f.u.
1.0
1.980 1.143 7.192
-1.980 1.143 7.192
0.000 -2.286 7.192
Sm Pa P Se
1 1 1 1
Cartesian
0.000 0.000 0.000
0.000 0.000 17.592
0.000 0.000 8.842
0.000 0.000 5.130

TbPaPSe | the Alexandria database | PBE | relaxed; DOS at the Fermi energy = 4.1 states/eV/f.u.
1.0
1.959 1.131 7.138
-1.959 1.131 7.138
0.000 -2.262 7.138
Tb Pa P Se
1 1 1 1
Cartesian
0.000 0.000 0.000
0.000 0.000 17.456
0.000 0.000 8.734
0.000 0.000 5.134

Pa6Te3P2Se | the Alexandria database | PBE | relaxed; DOS at the Fermi energy = 22.9 states/eV/f.u.
1.0
3.549 -6.151 0.000
3.549 6.151 0.000
-2.369 0.000 7.049
Pa Te P Se
6 3 2 1
Cartesian
-0.050 2.125 5.571
1.090 0.000 1.449
-0.050 -2.125 5.571
4.779 2.125 1.479
3.639 0.000 5.600
4.779 -2.125 1.479
-1.185 0.000 3.525
2.365 1.987 3.525
2.365 -1.987 3.525
3.549 4.086 0.000
3.549 -4.086 0.000
3.549 0.000 0.000

Pa4Te2PSe | the Alexandria database | PBE | relaxed; DOS at the Fermi energy = 15.8 states/eV/f.u.
1.0
7.159 0.000 0.000
0.000 4.104 0.000
-2.358 0.000 7.037
Pa Te P Se
4 2 1 1
Cartesian
1.123 0.000 1.457
-0.059 2.052 5.535
4.860 2.052 1.501
3.679 0.000 5.580
-1.179 0.000 3.518
2.401 2.052 3.518
0.000 2.052 0.000
3.579 0.000 0.000

Pa3SiP2 | the Alexandria database | PBE | relaxed; DOS at the Fermi energy = 6.1 states/eV/f.u.
1.0
-2.003 2.834 6.011
2.003 -2.834 6.011
2.003 2.834 -6.011
Pa Si P
3 1 2
Cartesian
0.000 0.000 0.000
0.000 0.000 3.968
0.000 0.000 8.053
0.000 2.834 0.000
2.003 0.000 1.988
0.000 2.834 4.023

Pa6SiP5 | the Alexandria database | PBE | relaxed; DOS at the Fermi energy = 11.1 states/eV/f.u.
1.0
3.454 -5.981 0.000
3.454 5.981 0.000
-2.301 0.000 6.516
Pa Si P
6 1 5
Cartesian
-0.010 2.012 4.875
1.129 0.000 1.638
-0.010 -2.012 4.875
4.617 2.012 1.641
3.478 0.000 4.878
4.617 -2.012 1.641
3.454 0.000 0.000
-1.151 0.000 3.258
3.454 3.986 0.000
2.304 1.975 3.258
2.304 -1.975 3.258
3.454 -3.986 0.000

Pa4SiP3 | the Alexandria database | PBE | relaxed; DOS at the Fermi energy = 6.1 states/eV/f.u.
1.0
5.651 0.000 0.000
0.000 5.651 0.000
0.000 0.000 5.651
Pa Si P
4 1 3
Cartesian
0.000 0.000 0.000
0.000 2.826 2.826
2.826 0.000 2.826
2.826 2.826 0.000
2.826 2.826 2.826
0.000 0.000 2.826
0.000 2.826 0.000
2.826 0.000 0.000

PaSiP | the Alexandria database | PBE | relaxed; DOS at the Fermi energy = 2.3 states/eV/f.u.
1.0
4.068 0.000 0.000
-2.034 3.523 0.000
0.000 0.000 3.774
Pa Si P
1 1 1
Cartesian
0.000 0.000 0.000
2.034 1.174 1.887
0.000 2.349 1.887

PaSiP2 | the Alexandria database | PBE | relaxed; DOS at the Fermi energy = 2.1 states/eV/f.u.
1.0
4.260 0.000 0.000
0.000 4.260 0.000
0.000 0.000 3.737
Pa Si P
1 1 2
Cartesian
0.000 0.000 0.000
2.130 2.130 0.000
0.000 2.130 1.869
2.130 0.000 1.869

PaSiP2 | the Alexandria database | PBE | relaxed; DOS at the Fermi energy = 4.6 states/eV/f.u.
1.0
1.612 0.931 8.576
-1.612 0.931 8.576
0.000 -1.861 8.576
Pa Si P
1 1 2
Cartesian
0.000 0.000 0.000
0.000 0.000 12.865
0.000 0.000 2.817
0.000 0.000 22.912

Energy relative to the elements, uncorrected across the listed records, respectively: -94 -111 -139 -139 -96 -94 -98 -113 -106 -63 -60 13 kJ per mole of atoms.
Electronic total energy across the listed records, respectively: -7.949 -8.128 -7.217 -7.195 -7.719 -7.618 -8.468 -8.626 -8.551 -7.428 -7.058 -6.295 eV per atom.